1.
Entry from the Alexandria database: a relaxed CsNaGePt crystal (PBE).

The calculation puts the formation energy at -1.04 eV/f.u. The density of states at the Fermi level is 2.44 states/eV/cell.

a = 4.3522 Å, b = 4.3522 Å, c = 8.4771 Å
α = 90.17°, β = 104.71°, γ = 119.98°
Positions (direct):
Cs 0.3731 0.0527 0.4258
Na 0.0130 0.8698 0.8828
Ge 0.8203 0.2746 0.0949
Pt 0.4857 0.6074 0.0930



2.
Entry from the Alexandria database: a relaxed HgI3Cl crystal (PBE).

The value obtained for the uncorrected formation energy is 0.35 eV/atom. The density of states at the Fermi level is 6.78 states/eV/cell. For the energy above the most stable polymorph in this dataset, the calculation gives 35 kJ/mol of formula units.

a = 5.7886 Å, b = 5.7886 Å, c = 5.7886 Å
α = 90.00°, β = 90.00°, γ = 90.00°
Positions (direct):
I 0.0000 0.5000 0.0000
I 0.0000 0.0000 0.5000
I 0.5000 0.0000 0.0000
Hg 0.5000 0.5000 0.5000
Cl 0.0000 0.0000 0.0000